A relaxed structure of KTl2Cd, computed with PBEsol.

Its crystal system is orthorhombic. As for the calculated total energy: -1.912 eV per atom. The density of states at the Fermi level comes out at 2.35 states/eV/f.u. For the volume, the calculation gives 121 Å³ per cell.

It has space group Pmm2 (No. 25), with a = 3.664 Å, b = 4.106 Å, c = 8.050 Å, α = 90.00°, β = 90.00° and γ = 90.00°. The distinct sites, in fractional coordinates, are K at (0.000, 0.000, 0.000), Tl at (0.000, 0.000, 0.518), Tl at (0.500, 0.500, 0.294) and Cd at (0.500, 0.500, 0.707).